Below is TaReCl2 after structural relaxation, with properties calculated at the PBE level.

Values from the calculation:
Symmetry   No. 123
Total DFT energy (no corrections)   -23.09 eV per cell
Uncorrected formation energy   4.91 eV/f.u.
Total moment   0.00 μB/f.u.
ρ   11.99 Mg/m³
Relative energy among the computed polymorphs   1727 meV per atom

Cell lengths 4.385, 4.385, 3.156 Å; angles 90.00, 90.00, 90.00 degrees
Positions (direct):
Ta1 0.000 0.000 0.000
Re1 0.500 0.500 0.000
Cl1 0.000 0.500 0.500
Cl2 0.500 0.000 0.500